Density functional theory data (PBE-GGA) for a relaxed CoBr2 crystal.

Cell: 5.0388 5.0388 3.3168 Å, 90.00 90.00 120.00°
Space group P6/mmm (No. 191)
Symmetry-distinct sites (fractional):
Co  0.0000  0.0000  0.0000 [1 per cell]
Br  0.3333  0.6667  0.5000 [2 per cell]

Density functional theory data (PBE-GGA) for a relaxed CoBr4 crystal.

Cell: 6.446 6.446 6.446 Å, 90.00 90.00 90.00°
Space group Im-3m (No. 229)
Symmetry-distinct sites (fractional):
Co  0.000  0.000  0.000 [2 per cell]
Br  0.250  0.250  0.250 [8 per cell]

Density functional theory data (PBE-GGA) for a relaxed CoBr5 crystal.

Cell: 8.697 8.697 8.697 Å, 90.00 90.00 90.00°
Space group F-43m (No. 216)
Symmetry-distinct sites (fractional):
Co  0.000  0.000  0.000 [4 per cell]
Br  0.125  0.125  0.375 [16 per cell]
Br  0.250  0.250  0.750 [4 per cell]

Density functional theory data (PBE-GGA) for a relaxed Co2Br crystal.

Cell: 11.706 3.255 6.270 Å, 90.00 118.07 90.00°
Space group C2/m (No. 12)
Symmetry-distinct sites (fractional):
Co  0.177  0.000  0.371 [4 per cell]
Co  0.241  0.000  0.795 [4 per cell]
Br  0.074  0.500  0.808 [4 per cell]

## Properties
- polymorph energy (0 for the lowest one) (eV/atom) = 0.482

Formation energy without anion corrections in eV/atom, matching the order above: 1.13 0.37 0.96 0.48
Size of the total moment in μB/f.u., matching the order above: 2.583 2.272 2.402 3.888
Calculated volume in Å³/cell, matching the order above: 72.9 267.8 657.8 210.8